1.
# SrZr2Co PBE relaxed
data_SrZr2Co
_chemical_formula_sum 'Sr4 Zr8 Co4'
_symmetry_space_group_name_H-M 'F m -3 m'
_symmetry_Int_Tables_number 225
_symmetry_space_group_name_Hall '-F 4 2 3'
_cell_length_a 6.9540
_cell_length_b 6.9540
_cell_length_c 6.9540
_cell_angle_alpha 90.00
_cell_angle_beta 90.00
_cell_angle_gamma 90.00
loop_
_atom_site_label
_atom_site_type_symbol
_atom_site_fract_x
_atom_site_fract_y
_atom_site_fract_z
Sr1 Sr 0.0000 0.0000 0.0000
Zr1 Zr 0.2500 0.2500 0.2500
Co1 Co 0.0000 0.0000 0.5000
# formation enthalpy at 0 K	662	meV per atom
# offset from the most stable computed form	516	meV/atom
# volume	21.02	Å³/atom
# final energy	-5.81	eV/atom
# total moment	0.11	μB per atom

2.
# SrZr2Co PBE relaxed
data_SrZr2Co
_chemical_formula_sum 'Sr1 Zr2 Co1'
_symmetry_space_group_name_H-M 'P 4 m m'
_symmetry_Int_Tables_number 99
_cell_length_a 3.3348
_cell_length_b 3.3348
_cell_length_c 8.5827
_cell_angle_alpha 90.00
_cell_angle_beta 90.00
_cell_angle_gamma 90.00
loop_
_symmetry_equiv_pos_as_xyz
'x,y,z'
'-y,x,z'
'-x,-y,z'
'y,-x,z'
'-x,y,z'
'y,x,z'
'x,-y,z'
'-y,-x,z'
loop_
_atom_site_label
_atom_site_type_symbol
_atom_site_fract_x
_atom_site_fract_y
_atom_site_fract_z
Sr1 Sr 0.0000 0.0000 0.0000
Zr1 Zr 0.0000 0.0000 0.5980
Zr2 Zr 0.5000 0.5000 0.3574
Co1 Co 0.5000 0.5000 0.7413
# formation enthalpy at 0 K	146	meV per atom
# offset from the most stable computed form	0	meV/atom
# volume	23.86	Å³/atom
# final energy	-6.33	eV/atom
# total moment	0.18	μB per atom

3.
# SrZr2Co2 PBE relaxed
data_SrZr2Co2
_chemical_formula_sum 'Sr2 Zr4 Co4'
_symmetry_space_group_name_H-M 'I 4/m m m'
_symmetry_Int_Tables_number 139
_symmetry_space_group_name_Hall '-I 4 2'
_cell_length_a 4.6532
_cell_length_b 4.6532
_cell_length_c 10.5979
_cell_angle_alpha 90.00
_cell_angle_beta 90.00
_cell_angle_gamma 90.00
loop_
_atom_site_label
_atom_site_type_symbol
_atom_site_fract_x
_atom_site_fract_y
_atom_site_fract_z
Sr1 Sr 0.0000 0.0000 0.0000
Zr1 Zr 0.0000 0.0000 0.3388
Co1 Co 0.0000 0.5000 0.2500
# formation enthalpy at 0 K	226	meV per atom
# offset from the most stable computed form	243	meV/atom
# volume	22.95	Å³/atom
# final energy	-6.37	eV/atom
# total moment	0.17	μB per atom

4.
# SrZrCo PBE relaxed
data_SrZrCo
_chemical_formula_sum 'Sr4 Zr4 Co4'
_symmetry_space_group_name_H-M 'F -4 3 m'
_symmetry_Int_Tables_number 216
_symmetry_space_group_name_Hall 'F -4 2 3'
_cell_length_a 6.5731
_cell_length_b 6.5731
_cell_length_c 6.5731
_cell_angle_alpha 90.00
_cell_angle_beta 90.00
_cell_angle_gamma 90.00
loop_
_atom_site_label
_atom_site_type_symbol
_atom_site_fract_x
_atom_site_fract_y
_atom_site_fract_z
Sr1 Sr 0.0000 0.0000 0.0000
Zr1 Zr 0.2500 0.2500 0.7500
Co1 Co 0.0000 0.0000 0.5000
# formation enthalpy at 0 K	1076	meV per atom
# offset from the most stable computed form	895	meV/atom
# volume	23.67	Å³/atom
# final energy	-4.70	eV/atom
# total moment	0.00	μB per atom

5.
# SrZr2Co2 PBE relaxed
data_SrZr2Co2
_chemical_formula_sum 'Sr2 Zr4 Co4'
_symmetry_space_group_name_H-M 'P 4/m b m'
_symmetry_Int_Tables_number 127
_symmetry_space_group_name_Hall '-P 4 2ab'
_cell_length_a 7.8973
_cell_length_b 7.8973
_cell_length_c 3.2588
_cell_angle_alpha 90.00
_cell_angle_beta 90.00
_cell_angle_gamma 90.00
loop_
_atom_site_label
_atom_site_type_symbol
_atom_site_fract_x
_atom_site_fract_y
_atom_site_fract_z
Sr1 Sr 0.0000 0.0000 0.0000
Zr1 Zr 0.1409 0.3591 0.5000
Co1 Co 0.1264 0.6264 0.0000
# formation enthalpy at 0 K	117	meV per atom
# offset from the most stable computed form	134	meV/atom
# volume	20.32	Å³/atom
# final energy	-6.48	eV/atom
# total moment	0.00	μB per atom

6.
# SrZrCo3 PBE relaxed
data_SrZrCo3
_chemical_formula_sum 'Sr1 Zr1 Co3'
_symmetry_space_group_name_H-M 'P m -3 m'
_symmetry_Int_Tables_number 221
_symmetry_space_group_name_Hall '-P 4 2 3'
_cell_length_a 4.7448
_cell_length_b 4.7448
_cell_length_c 4.7448
_cell_angle_alpha 90.00
_cell_angle_beta 90.00
_cell_angle_gamma 90.00
loop_
_atom_site_label
_atom_site_type_symbol
_atom_site_fract_x
_atom_site_fract_y
_atom_site_fract_z
Sr1 Sr 0.0000 0.0000 0.0000
Zr1 Zr 0.5000 0.5000 0.5000
Co1 Co 0.0000 0.5000 0.5000
# formation enthalpy at 0 K	823	meV per atom
# offset from the most stable computed form	0	meV/atom
# volume	21.36	Å³/atom
# final energy	-5.49	eV/atom
# total moment	0.32	μB per atom

7.
# SrZr2Co PBE relaxed
data_SrZr2Co
_chemical_formula_sum 'Sr2 Zr4 Co2'
_symmetry_space_group_name_H-M 'C 1 2/m 1'
_symmetry_Int_Tables_number 12
_cell_length_a 5.9864
_cell_length_b 11.2239
_cell_length_c 3.1408
_cell_angle_alpha 90.00
_cell_angle_beta 118.64
_cell_angle_gamma 90.00
loop_
_symmetry_equiv_pos_as_xyz
'x,y,z'
'-x,-y,-z'
'-x,y,-z'
'x,-y,z'
'x+1/2,y+1/2,z'
'-x+1/2,-y+1/2,-z'
'-x+1/2,y+1/2,-z'
'x+1/2,-y+1/2,z'
loop_
_atom_site_label
_atom_site_type_symbol
_atom_site_fract_x
_atom_site_fract_y
_atom_site_fract_z
Sr1 Sr 0.0000 0.0000 0.0000
Zr1 Zr 0.2500 0.2500 0.5000
Co1 Co 0.0000 0.5000 0.0000
# formation enthalpy at 0 K	670	meV per atom
# offset from the most stable computed form	524	meV/atom
# volume	23.15	Å³/atom
# final energy	-5.80	eV/atom
# total moment	0.27	μB per atom

8.
# SrZr2Co PBE relaxed
data_SrZr2Co
_chemical_formula_sum 'Sr3 Zr6 Co3'
_symmetry_space_group_name_H-M 'R -3 m'
_symmetry_Int_Tables_number 166
_symmetry_space_group_name_Hall '-R 3 2"'
_cell_length_a 3.6490
_cell_length_b 3.6490
_cell_length_c 27.8991
_cell_angle_alpha 90.00
_cell_angle_beta 90.00
_cell_angle_gamma 120.00
loop_
_atom_site_label
_atom_site_type_symbol
_atom_site_fract_x
_atom_site_fract_y
_atom_site_fract_z
Sr1 Sr 0.0000 0.0000 0.0000
Zr1 Zr 0.0000 0.0000 0.2168
Co1 Co 0.0000 0.0000 0.5000
# formation enthalpy at 0 K	210	meV per atom
# offset from the most stable computed form	64	meV/atom
# volume	26.81	Å³/atom
# final energy	-6.26	eV/atom
# total moment	0.00	μB per atom

9.
# SrZr2Co PBE relaxed
data_SrZr2Co
_chemical_formula_sum 'Sr2 Zr4 Co2'
_symmetry_space_group_name_H-M 'C m m m'
_symmetry_Int_Tables_number 65
_symmetry_space_group_name_Hall '-C 2 2'
_cell_length_a 5.7047
_cell_length_b 10.4267
_cell_length_c 3.0739
_cell_angle_alpha 90.00
_cell_angle_beta 90.00
_cell_angle_gamma 90.00
loop_
_atom_site_label
_atom_site_type_symbol
_atom_site_fract_x
_atom_site_fract_y
_atom_site_fract_z
Sr1 Sr 0.0000 0.0000 0.0000
Zr1 Zr 0.2500 0.2500 0.5000
Co1 Co 0.0000 0.5000 0.0000
# formation enthalpy at 0 K	777	meV per atom
# offset from the most stable computed form	631	meV/atom
# volume	22.85	Å³/atom
# final energy	-5.69	eV/atom
# total moment	0.15	μB per atom

10.
# SrZr2Co PBE relaxed
data_SrZr2Co
_chemical_formula_sum 'Sr4 Zr8 Co4'
_symmetry_space_group_name_H-M 'I 41/a m d'
_symmetry_Int_Tables_number 141
_cell_length_a 5.6470
_cell_length_b 5.6470
_cell_length_c 16.0364
_cell_angle_alpha 90.00
_cell_angle_beta 90.00
_cell_angle_gamma 90.00
loop_
_symmetry_equiv_pos_as_xyz
'x,y,z'
'-x,-y,-z'
'-y+1/4,x+3/4,z+1/4'
'y+1/4,-x+3/4,-z+1/4'
'-x+1/2,-y,z+1/2'
'x+1/2,y,-z+1/2'
'y+1/4,-x+1/4,z+3/4'
'-y+1/4,x+1/4,-z+3/4'
'x,-y,-z'
'-x,y,z'
'-y+1/4,-x+1/4,-z+3/4'
'y+1/4,x+1/4,z+3/4'
'-x+1/2,y,-z+1/2'
'x+1/2,-y,z+1/2'
'y+1/4,x+3/4,-z+1/4'
'-y+1/4,-x+3/4,z+1/4'
'x+1/2,y+1/2,z+1/2'
'-x+1/2,-y+1/2,-z+1/2'
'-y+3/4,x+1/4,z+3/4'
'y+3/4,-x+1/4,-z+3/4'
'-x,-y+1/2,z'
'x,y+1/2,-z'
'y+3/4,-x+3/4,z+1/4'
'-y+3/4,x+3/4,-z+1/4'
'x+1/2,-y+1/2,-z+1/2'
'-x+1/2,y+1/2,z+1/2'
'-y+3/4,-x+3/4,-z+1/4'
'y+3/4,x+3/4,z+1/4'
'-x,y+1/2,-z'
'x,-y+1/2,z'
'y+3/4,x+1/4,-z+3/4'
'-y+3/4,-x+1/4,z+3/4'
loop_
_atom_site_label
_atom_site_type_symbol
_atom_site_fract_x
_atom_site_fract_y
_atom_site_fract_z
Sr1 Sr 0.0000 0.2500 0.3750
Zr1 Zr 0.0000 0.0000 0.0000
Co1 Co 0.0000 0.2500 0.8750
# formation enthalpy at 0 K	849	meV per atom
# offset from the most stable computed form	703	meV/atom
# volume	31.96	Å³/atom
# final energy	-5.62	eV/atom
# total moment	0.00	μB per atom

11.
# SrZrCo PBE relaxed
data_SrZrCo
_chemical_formula_sum 'Sr4 Zr4 Co4'
_symmetry_space_group_name_H-M 'F -4 3 m'
_symmetry_Int_Tables_number 216
_symmetry_space_group_name_Hall 'F -4 2 3'
_cell_length_a 6.5801
_cell_length_b 6.5801
_cell_length_c 6.5801
_cell_angle_alpha 90.00
_cell_angle_beta 90.00
_cell_angle_gamma 90.00
loop_
_atom_site_label
_atom_site_type_symbol
_atom_site_fract_x
_atom_site_fract_y
_atom_site_fract_z
Sr1 Sr 0.0000 0.0000 0.0000
Zr1 Zr 0.2500 0.2500 0.7500
Co1 Co 0.2500 0.2500 0.2500
# formation enthalpy at 0 K	1615	meV per atom
# offset from the most stable computed form	1434	meV/atom
# volume	23.74	Å³/atom
# final energy	-4.16	eV/atom
# total moment	0.00	μB per atom

12.
# Sr2ZrCo2 PBE relaxed
data_Sr2ZrCo2
_chemical_formula_sum 'Sr4 Zr2 Co4'
_symmetry_space_group_name_H-M 'P 4/m b m'
_symmetry_Int_Tables_number 127
_symmetry_space_group_name_Hall '-P 4 2ab'
_cell_length_a 6.8393
_cell_length_b 6.8393
_cell_length_c 5.0001
_cell_angle_alpha 90.00
_cell_angle_beta 90.00
_cell_angle_gamma 90.00
loop_
_atom_site_label
_atom_site_type_symbol
_atom_site_fract_x
_atom_site_fract_y
_atom_site_fract_z
Sr1 Sr 0.1753 0.3247 0.0000
Zr1 Zr 0.0000 0.0000 0.5000
Co1 Co 0.1175 0.6175 0.5000
# formation enthalpy at 0 K	351	meV per atom
# volume	23.39	Å³/atom
# final energy	-4.87	eV/atom
# total moment	0.00	μB per atom